Entry 1:
Entry from Alexandria: a geometry-optimized Tb2ErAl2 structure (PBE).

mass density = 6.9 g cm⁻³
DFT formation energy = -31 kJ per mole of atoms

```
Tb2ErAl2
1.0
-0.361 -1.860 4.402
1.825 -5.455 0.453
4.962 -0.182 2.939
Tb Er Al
2 1 2
direct
0.803 0.697 0.697
0.197 0.303 0.303
0.000 0.000 0.000
0.500 0.301 0.699
0.500 0.699 0.301
```

***

Entry 2:
Entry from Alexandria: a geometry-optimized BaCaVIn structure (PBE).

mass density = 4.0 g cm⁻³
DFT formation energy = 19 kJ per mole of atoms

```
BaCaVIn
1.0
5.010 0.000 0.000
-2.505 4.339 0.000
0.000 0.000 19.618
V Ca Ba In
3 3 3 3
direct
0.333 0.667 0.491
0.000 0.000 0.824
0.667 0.333 0.158
0.667 0.333 0.903
0.000 0.000 0.570
0.333 0.667 0.236
0.000 0.000 0.378
0.667 0.333 0.711
0.333 0.667 0.045
0.667 0.333 0.494
0.333 0.667 0.827
0.000 0.000 0.160
```

***

Entry 3:
Entry from Alexandria: a geometry-optimized Sm2NbWN6 structure (PBE).

mass density = 8.6 g cm⁻³
formation energy (no corrections) = -901 meV per atom

```
Sm2NbWN6
1.0
5.595 0.000 -0.024
0.000 5.745 0.000
0.015 0.000 7.981
N Sm W Nb
12 4 2 2
direct
0.797 0.789 0.954
0.414 0.979 0.745
0.288 0.703 0.045
0.712 0.297 0.955
0.212 0.203 0.455
0.297 0.711 0.454
0.203 0.211 0.046
0.086 0.479 0.755
0.586 0.021 0.255
0.788 0.797 0.545
0.703 0.289 0.546
0.914 0.521 0.245
0.490 0.448 0.250
0.010 0.948 0.250
0.990 0.052 0.750
0.510 0.552 0.750
0.500 0.000 0.500
0.000 0.500 0.000
0.500 0.000 0.000
0.000 0.500 0.500
```

***

Entry 4:
Entry from Alexandria: a geometry-optimized MnV3Cr structure (PBE).

mass density = 6.7 g cm⁻³
DFT formation energy = 16 kJ per mole of atoms

```
MnV3Cr
1.0
-3.426 -3.187 -2.766
5.686 -4.232 -1.477
1.380 -5.143 4.905
Mn V Cr
4 12 4
direct
0.250 0.927 0.073
0.750 0.421 0.579
0.750 0.073 0.927
0.250 0.579 0.421
0.571 0.080 0.219
0.071 0.219 0.080
0.422 0.310 0.810
0.922 0.810 0.310
0.578 0.690 0.190
0.426 0.293 0.404
0.429 0.920 0.781
0.929 0.781 0.920
0.074 0.596 0.707
0.078 0.190 0.690
0.926 0.404 0.293
0.574 0.707 0.596
0.705 0.456 0.978
0.795 0.022 0.544
0.205 0.978 0.456
0.295 0.544 0.022
```

***

Entry 5:
Entry from Alexandria: a geometry-optimized SrPrPu2S4 structure (PBE).

mass density = 7.3 g cm⁻³
formation energy (no corrections) = -1885 meV per atom

```
SrPrPu2S4
1.0
4.059 0.000 0.000
0.000 7.061 -0.155
0.000 2.484 6.613
Pr Sr Pu S
1 1 2 4
direct
0.500 0.500 0.000
0.000 0.500 0.500
0.500 0.000 0.500
0.000 0.000 0.000
0.500 0.234 0.758
0.000 0.764 0.748
0.500 0.766 0.242
0.000 0.236 0.252
```

***

Entry 6:
Entry from Alexandria: a geometry-optimized Sr2CdAs4Au3 structure (PBE).

mass density = 8.4 g cm⁻³
DFT formation energy = -50 kJ per mole of atoms

```
Sr2CdAs4Au3
1.0
-1.258 -1.112 -4.237
4.344 -0.890 -1.056
-1.405 -10.685 3.222
Au As Sr Cd
3 4 2 1
direct
0.000 0.500 0.130
0.500 0.000 0.870
0.000 0.000 0.500
0.500 0.000 0.643
0.500 0.500 0.000
0.000 0.500 0.357
0.000 0.000 0.000
0.500 0.000 0.240
0.000 0.500 0.760
0.500 0.500 0.500
```

***

Entry 7:
Entry from Alexandria: a geometry-optimized Nd6Si2Br3Cl structure (PBE).

mass density = 5.9 g cm⁻³
formation energy (no corrections) = -1157 meV per atom

```
Nd6Si2Br3Cl
1.0
7.328 -0.011 -0.002
-3.672 6.342 -0.002
-1.222 -2.116 7.276
Nd Br Si Cl
6 3 2 1
direct
0.930 0.586 0.790
0.727 0.727 0.209
0.070 0.414 0.210
0.414 0.070 0.210
0.586 0.930 0.790
0.273 0.273 0.791
0.500 0.500 0.500
0.831 0.169 0.500
0.169 0.831 0.500
0.667 0.333 0.000
0.333 0.667 0.000
0.000 0.000 0.000
```

***

Entry 8:
Entry from Alexandria: a geometry-optimized In4SnCl5 structure (PBE).

mass density = 3.9 g cm⁻³
formation energy (no corrections) = -669 meV per atom

```
In4SnCl5
1.0
-2.169 4.240 4.092
3.043 -0.690 7.145
4.189 6.571 0.230
In Cl Sn
4 5 1
direct
0.425 0.390 0.770
0.195 0.230 0.390
0.585 0.610 0.230
0.815 0.770 0.610
0.750 0.131 0.381
0.881 0.381 0.869
0.474 0.000 0.000
0.262 0.869 0.619
0.131 0.619 0.131
0.994 0.000 0.000
```

***

Entry 9:
Entry from Alexandria: a geometry-optimized Tl3GaPb structure (PBE).

mass density = 6.8 g cm⁻³
DFT formation energy = 53 kJ per mole of atoms

```
Tl3GaPb
1.0
5.999 0.000 0.000
0.000 5.999 0.000
0.000 0.000 5.999
Pb Tl Ga
1 3 1
direct
0.000 0.000 0.000
0.500 0.000 0.000
0.000 0.500 0.000
0.000 0.000 0.500
0.500 0.500 0.500
```

***

Entry 10:
Entry from Alexandria: a geometry-optimized TbMgCdHg structure (PBE).

mass density = 8.8 g cm⁻³
DFT formation energy = -37 kJ per mole of atoms

```
TbMgCdHg
1.0
-4.188 -2.120 1.975
-3.263 -2.484 -3.020
-0.390 -5.069 0.297
Hg Mg Cd Tb
1 1 1 1
direct
0.000 0.000 0.000
0.250 0.250 0.250
0.500 0.500 0.500
0.750 0.750 0.750
```

***

Entry 11:
Entry from Alexandria: a geometry-optimized LaPr2Se4 structure (PBE).

mass density = 5.5 g cm⁻³
formation energy (no corrections) = -1913 meV per atom

```
LaPr2Se4
1.0
-8.095 1.296 2.631
-6.398 -4.530 -3.366
-3.965 -5.855 4.773
Pr La Se
4 2 8
direct
0.000 0.500 0.500
0.000 0.000 0.000
0.000 0.000 0.500
0.500 0.000 0.500
0.500 0.500 0.000
0.000 0.500 0.000
0.252 0.246 0.249
0.242 0.250 0.750
0.748 0.251 0.254
0.241 0.750 0.250
0.758 0.750 0.250
0.748 0.754 0.751
0.252 0.749 0.746
0.759 0.250 0.750
```

***

Entry 12:
Entry from Alexandria: a geometry-optimized Pr2Co12As7 structure (PBE).

mass density = 8.6 g cm⁻³
DFT formation energy = -42 kJ per mole of atoms

```
Pr2Co12As7
1.0
-0.533 -0.771 3.684
1.875 -9.087 -1.631
6.976 5.920 2.248
As Pr Co
7 2 12
direct
0.000 0.736 0.959
0.500 0.628 0.561
0.000 0.333 0.667
0.000 0.041 0.777
0.000 0.223 0.264
0.500 0.439 0.067
0.500 0.933 0.372
0.000 0.667 0.333
0.500 0.000 0.000
0.500 0.233 0.787
0.000 0.457 0.516
0.500 0.553 0.767
0.500 0.906 0.616
0.500 0.384 0.289
0.000 0.484 0.941
0.500 0.711 0.094
0.000 0.958 0.234
0.500 0.213 0.447
0.000 0.766 0.724
0.000 0.276 0.042
0.000 0.059 0.543
```

***

Entry 13:
Entry from Alexandria: a geometry-optimized LiLaErCd structure (PBE).

mass density = 6.4 g cm⁻³
DFT formation energy = -10 kJ per mole of atoms

```
LiLaErCd
1.0
-3.868 -3.242 1.884
1.239 -3.953 3.443
-1.526 0.341 5.155
La Er Cd Li
1 1 1 1
direct
0.000 0.000 0.000
0.500 0.500 0.500
0.750 0.750 0.750
0.250 0.250 0.250
```

***

Entry 14:
Entry from Alexandria: a geometry-optimized CaFeRu2 structure (PBE).

mass density = 7.7 g cm⁻³
DFT formation energy = 38 kJ per mole of atoms

```
CaFeRu2
1.0
-5.046 -1.232 -1.706
-2.529 -4.373 2.091
2.265 4.923 0.726
Fe Ru Ca
1 2 1
direct
0.750 0.250 0.500
0.966 0.966 0.000
0.534 0.534 0.000
0.250 0.750 0.500
```

***

Entry 15:
Entry from Alexandria: a geometry-optimized CeY2Zr3N6 structure (PBE).

mass density = 6.9 g cm⁻³
formation energy (no corrections) = -1688 meV per atom

```
CeY2Zr3N6
1.0
3.355 0.000 0.000
0.000 6.783 0.201
-1.678 -1.999 7.107
Y Zr N Ce
2 3 6 1
direct
0.832 0.665 0.665
0.168 0.335 0.335
0.168 0.833 0.336
0.832 0.167 0.664
0.500 0.500 0.000
0.328 0.926 0.656
0.672 0.074 0.344
0.996 0.264 0.992
0.663 0.593 0.327
0.337 0.407 0.673
0.004 0.736 0.008
0.500 0.000 0.000
```

***

Entry 16:
Entry from Alexandria: a geometry-optimized CuTcAg structure (PBE).

mass density = 8.6 g cm⁻³
DFT formation energy = 94 kJ per mole of atoms

```
CuTcAg
1.0
4.195 0.000 0.000
2.097 3.633 0.000
2.097 1.211 3.425
Cu Tc Ag
1 1 1
direct
0.750 0.750 0.750
0.000 0.000 0.000
0.500 0.500 0.500
```

***

Entry 17:
Entry from Alexandria: a geometry-optimized BaTmMg structure (PBE).

mass density = 5.0 g cm⁻³
DFT formation energy = 4 kJ per mole of atoms

```
BaTmMg
1.0
3.846 0.000 0.000
0.000 3.846 0.000
-1.923 -1.923 14.933
Ba Tm Mg
2 2 2
direct
0.568 0.568 0.136
0.432 0.432 0.864
0.715 0.715 0.430
0.285 0.285 0.570
0.154 0.154 0.308
0.846 0.846 0.692
```

***

Entry 18:
Entry from Alexandria: a geometry-optimized Hf6CuC structure (PBE).

mass density = 12.0 g cm⁻³
DFT formation energy = -5 kJ per mole of atoms

```
Hf6CuC
1.0
-2.375 4.984 1.684
-4.201 2.155 -3.340
-5.941 -0.541 1.930
Hf C Cu
6 1 1
direct
0.220 0.966 0.240
0.617 0.220 0.223
0.780 0.034 0.760
0.957 0.575 0.235
0.383 0.780 0.777
0.043 0.425 0.765
0.000 0.000 0.000
0.500 0.500 0.500
```

***

Entry 19:
Entry from Alexandria: a geometry-optimized CrCuRe2 structure (PBE).

mass density = 14.7 g cm⁻³
DFT formation energy = 23 kJ per mole of atoms

```
CrCuRe2
1.0
8.807 -0.017 -0.010
8.394 2.665 -0.010
8.394 1.292 2.330
Re Cu Cr
2 1 1
direct
0.503 0.503 0.503
0.997 0.997 0.997
0.750 0.750 0.750
0.250 0.250 0.250
```

***

Entry 20:
Entry from Alexandria: a geometry-optimized LiLa2Si3Pt12 structure (PBE).

mass density = 12.8 g cm⁻³
formation energy (no corrections) = -572 meV per atom

```
LiLa2Si3Pt12
1.0
7.639 -0.323 -0.229
3.492 6.802 -0.229
3.492 2.033 6.495
Pt Si La Li
12 3 2 1
direct
0.355 0.355 0.895
0.364 0.875 0.875
0.125 0.636 0.125
0.875 0.364 0.875
0.895 0.355 0.355
0.636 0.125 0.125
0.355 0.895 0.355
0.105 0.645 0.645
0.875 0.875 0.364
0.645 0.105 0.645
0.125 0.125 0.636
0.645 0.645 0.105
0.000 0.000 0.500
0.500 0.000 0.000
0.000 0.500 0.000
0.621 0.621 0.621
0.379 0.379 0.379
0.000 0.000 0.000
```

***

Entry 21:
Entry from Alexandria: a geometry-optimized LiLaSc2Au4 structure (PBE).

mass density = 10.0 g cm⁻³
DFT formation energy = -70 kJ per mole of atoms

```
LiLaSc2Au4
1.0
4.766 0.000 0.000
2.383 4.128 0.000
2.383 1.376 8.632
Au Sc Li La
4 2 1 1
direct
0.875 0.875 0.374
0.125 0.125 0.626
0.398 0.398 0.805
0.602 0.602 0.195
0.235 0.235 0.296
0.765 0.765 0.704
0.500 0.500 0.500
0.000 0.000 0.000
```

***

Entry 22:
Entry from Alexandria: a geometry-optimized Hf2BC structure (PBE).

mass density = 11.8 g cm⁻³
DFT formation energy = -66 kJ per mole of atoms

```
Hf2BC
1.0
3.304 0.000 0.000
1.652 2.861 0.000
1.652 0.954 5.640
Hf B C
2 1 1
direct
0.255 0.255 0.235
0.745 0.745 0.765
0.500 0.500 0.500
0.000 0.000 0.000
```

***

Entry 23:
Entry from Alexandria: a geometry-optimized Ac3Pr2Mg3 structure (PBE).

mass density = 6.1 g cm⁻³
DFT formation energy = -6 kJ per mole of atoms

```
Ac3Pr2Mg3
1.0
-0.769 3.862 0.916
-5.578 -0.715 -1.664
0.269 -4.788 11.486
Pr Mg Ac
2 3 3
direct
0.736 0.236 0.472
0.264 0.764 0.528
0.878 0.878 0.756
0.122 0.122 0.244
0.000 0.500 0.000
0.376 0.376 0.752
0.624 0.624 0.248
0.500 0.000 0.000
```